DFT (PBE-GGA) results for a relaxed structure of TaMoIr.

As for the energy above the most stable polymorph in this dataset: 0.1410 eV per atom. The calculation puts the density of states at the Fermi level at 1.27 states/eV/atom. As for the crystal system: tetragonal. The value obtained for the spin magnetization is 0.0000 μB per atom. For the formation energy, the calculation gives -9.5 kJ per mole of atoms.

The structure belongs to space group I4mm (No. 107); the cell edges are 3.262, 3.262 and 9.221 Å and the angles 90.00°, 90.00° and 90.00°. The inequivalent atoms are Ta at (0.000, 0.000, 0.000), Mo at (0.000, 0.000, 0.336) and Ir at (0.000, 0.000, 0.663).